## Tb2ErHg4 (GGA-PBE)

Data for a geometry-optimized Tb2ErHg4 structure.

Results
Energy (eV per cell): -29.84
Excess energy over the best structure of this formula in the dataset (eV per atom): 0.359
Spin magnetization (μB/cell): 0.0

Cell: 5.5836 5.5836 15.3284 Å, 90.00 90.00 90.00°
Space group I4/mmm (No. 139)
One atom of each set of equivalent atoms:
Tb  0.0000  0.0000  0.1035
Er  0.0000  0.0000  0.5000
Hg  0.0000  0.0000  0.3032
Hg  0.0000  0.5000  0.0000

=====

## K8AgAu2 (GGA-PBE)

Data for a geometry-optimized K8AgAu2 structure.

Results
Energy (eV per cell): -38.27
Spin magnetization (μB/cell): 0.0

Cell: 10.3785 15.2661 6.5239 Å, 90.00 104.22 90.00°
Space group C2/m (No. 12)
One atom of each set of equivalent atoms:
K  0.0000  0.2373  0.0000
K  0.1326  0.5000  0.8044
K  0.1934  0.1311  0.5887
Ag  0.0000  0.0000  0.0000
Au  0.0000  0.3164  0.5000

=====

## AcAlRhO4 (GGA-PBE)

Data for a geometry-optimized AcAlRhO4 structure.

Results
Energy (eV per cell): -99.52
Spin magnetization (μB/cell): 2.0

Cell: 5.9648 5.9648 6.2151 Å, 90.00 90.00 90.00°
Space group I-4 (No. 82)
One atom of each set of equivalent atoms:
Ac  0.0000  0.0000  0.0000
Al  0.0000  0.5000  0.7500
Rh  0.0000  0.0000  0.5000
O  0.1463  0.3001  0.5893

=====

## Ca3Mg2Cd (GGA-PBE)

Data for a geometry-optimized Ca3Mg2Cd structure.

Results
Energy (eV per cell): -22.34
Excess energy over the best structure of this formula in the dataset (eV per atom): 0.000
Spin magnetization (μB/cell): 0.0

Cell: 5.5645 16.6345 3.8978 Å, 90.00 90.00 90.00°
Space group Cmmm (No. 65)
One atom of each set of equivalent atoms:
Ca  0.0000  0.0000  0.0000
Ca  0.0000  0.3400  0.0000
Mg  0.0000  0.1727  0.5000
Cd  0.0000  0.5000  0.5000

=====

## MgAg4Au2 (GGA-PBE)

Data for a geometry-optimized MgAg4Au2 structure.

Results
Energy (eV per cell): -40.45
Excess energy over the best structure of this formula in the dataset (eV per atom): 0.064
Spin magnetization (μB/cell): 0.0

Cell: 7.8295 8.6898 3.9663 Å, 90.00 90.00 90.00°
Space group Cmmm (No. 65)
One atom of each set of equivalent atoms:
Mg  0.0000  0.0000  0.0000
Ag  0.2016  0.5000  0.5000
Ag  0.2500  0.2500  0.0000
Au  0.0000  0.2218  0.5000

=====

## LiLaGe2 (GGA-PBE)

Data for a geometry-optimized LiLaGe2 structure.

Results
Energy (eV per cell): -75.60
Excess energy over the best structure of this formula in the dataset (eV per atom): 0.000
Spin magnetization (μB/cell): 0.0

Cell: 7.8836 4.0460 10.9010 Å, 90.00 90.00 90.00°
Space group Pnma (No. 62)
One atom of each set of equivalent atoms:
Li  0.0076  0.2500  0.1112
La  0.1396  0.7500  0.3670
Ge  0.1592  0.7500  0.6827
Ge  0.2183  0.7500  0.0689

=====

## Li3Y2ErTe6 (GGA-PBE)

Data for a geometry-optimized Li3Y2ErTe6 structure.

Results
Energy (eV per cell): -115.32
Spin magnetization (μB/cell): 0.0

Cell: 7.5073 13.0044 7.4898 Å, 90.00 109.53 90.00°
Space group C2/m (No. 12)
One atom of each set of equivalent atoms:
Li  0.0000  0.0000  0.0000
Li  0.0000  0.3323  0.0000
Y  0.0000  0.1666  0.5000
Er  0.0000  0.5000  0.5000
Te  0.2461  0.5000  0.2451
Te  0.2494  0.1656  0.2450

=====

## Ni3MoRh4 (GGA-PBE)

Data for a geometry-optimized Ni3MoRh4 structure.

Results
Energy (eV per cell): -116.04
Excess energy over the best structure of this formula in the dataset (eV per atom): 0.000
Spin magnetization (μB/cell): 0.1

Cell: 8.5904 5.4279 4.5416 Å, 90.00 90.00 90.00°
Space group Pmma (No. 51)
One atom of each set of equivalent atoms:
Ni  0.0000  0.0000  0.0000
Ni  0.2500  0.0000  0.3445
Ni  0.2500  0.5000  0.3540
Mo  0.0000  0.5000  0.0000
Rh  0.0000  0.2484  0.5000
Rh  0.2500  0.2417  0.8559